VASP calculation (PBE) on a relaxed structure of AlZnRh.

The structure in POSCAR format:
```
AlZnRh
1.0
-4.1153 0.2624 -0.4571
-1.9038 -2.2048 -2.9543
-2.4116 -3.2125 1.0382
Rh Zn Al
1 1 1
direct
0.7500 0.7500 0.7500 Rh
0.0000 0.0000 0.0000 Zn
0.5000 0.5000 0.5000 Al
```

Properties
Mass density, Mg/m³: 6.4
Space group: No. 216
E above lowest polymorph, meV/atom: 155
Crystal system: cubic